MgSb2TeBr | Alexandria | GGA-PBE | relaxed; formation energy (no corrections) = 370.3 meV/atom; magnetization = 0.0 μB/f.u.; uncorrected energy = -2.56 eV per atom; offset from the most stable computed form = 0.0 meV/atom; density of states at the Fermi level = 4.55 states/eV/cell
1.0
5.5031 0.0000 0.0000
0.0000 5.5031 0.0000
0.0000 0.0000 5.3050
Mg Sb Te Br
1 2 1 1
Direct
0.0000 0.0000 0.0000
0.0000 0.5000 0.0000
0.5000 0.0000 0.0000
0.0000 0.0000 0.5000
0.5000 0.5000 0.5000

=====

GdTlAg2 | Alexandria | GGA-PBE | relaxed; formation energy from the elements = -0.13 eV per atom; magnetization = 7.5 μB/f.u.; uncorrected energy = -5.66 eV per atom; density of states at the Fermi level = 4.71 states/eV/cell
1.0
4.6330 0.0000 0.0000
0.0000 4.6330 0.0000
0.0000 0.0000 4.3967
Gd Tl Ag
1 1 2
Direct
0.0000 0.0000 0.0000
0.5000 0.5000 0.0000
0.0000 0.5000 0.5000
0.5000 0.0000 0.5000

=====

SrErCuAu | Alexandria | GGA-PBE | relaxed; formation energy from the elements = -0.36 eV per atom; magnetization = 0.0 μB/f.u.; uncorrected energy = -3.77 eV per atom; density of states at the Fermi level = 2.96 states/eV/cell
1.0
0.0000 3.6419 3.6419
3.6419 0.0000 3.6419
3.6419 3.6419 0.0000
Sr Er Cu Au
1 1 1 1
Direct
0.0000 0.0000 0.0000
0.5000 0.5000 0.5000
0.7500 0.7500 0.7500
0.2500 0.2500 0.2500

=====

Cs2YPd2 | Alexandria | GGA-PBE | relaxed; formation energy from the elements = 0.38 eV per atom; magnetization = 0.0 μB/f.u.; uncorrected energy = -3.33 eV per atom; offset from the most stable computed form = 0.0 meV/atom; density of states at the Fermi level = 5.08 states/eV/cell
1.0
-2.2685 2.2685 7.9422
2.2685 -2.2685 7.9422
2.2685 2.2685 -7.9422
Cs Y Pd
2 1 2
Direct
0.2500 0.7500 0.5000
0.7500 0.2500 0.5000
0.0000 0.0000 0.0000
0.4191 0.4191 0.0000
0.5809 0.5809 0.0000

=====

InGa2Bi2Te | Alexandria | GGA-PBE | relaxed; formation energy (no corrections) = 2.3 meV/atom; magnetization = 0.0 μB/f.u.; uncorrected energy = -3.28 eV per atom; density of states at the Fermi level = 4.72 states/eV/cell
1.0
6.6862 0.0000 0.0000
0.0000 6.0606 0.0000
-2.5314 0.0000 9.4161
In Ga Bi Te
2 4 4 2
Direct
0.0379 0.2500 0.4067
0.9621 0.7500 0.5933
0.4082 0.0149 0.8029
0.4082 0.4851 0.8029
0.5918 0.5149 0.1971
0.5918 0.9851 0.1971
0.0026 0.2500 0.7149
0.4912 0.7500 0.5792
0.5088 0.2500 0.4208
0.9974 0.7500 0.2851
0.2690 0.7500 0.9979
0.7310 0.2500 0.0021

=====

K3BaTa | Alexandria | GGA-PBE | relaxed; formation energy from the elements = 1.30 eV per atom; magnetization = 5.0 μB/f.u.; uncorrected energy = -2.12 eV per atom; offset from the most stable computed form = 0.0 meV/atom; density of states at the Fermi level = 8.06 states/eV/cell
1.0
6.8062 0.0000 0.0000
0.0000 6.8062 0.0000
0.0000 0.0000 6.8062
K Ba Ta
3 1 1
Direct
0.0000 0.0000 0.5000
0.0000 0.5000 0.0000
0.5000 0.0000 0.0000
0.5000 0.5000 0.5000
0.0000 0.0000 0.0000